LaSi2Pt: optimized geometry, GGA-PBEsol.

Unit cell a=8.7780 b=8.7780 c=8.7780 alpha=149.17 beta=149.17 gamma=44.17
Last column: nearest neighbours and their distance in Å.
Element x y z (fractional)
La: 0.0000 0.0000 0.0000  4 Si 3.10, 4 Pt 3.30
La: 0.7500 0.2500 0.5000  4 Si 3.10, 4 Pt 3.30
Si: 0.3106 0.6250 0.1856  2 Pt 2.36, 2 Si 2.41
Si: 0.3750 0.5606 0.6856  2 Pt 2.36, 2 Si 2.41
Si: 0.4394 0.1250 0.8144  2 Pt 2.36, 2 Si 2.41
Si: 0.8750 0.6894 0.3144  2 Pt 2.36, 2 Si 2.41
Pt: 0.2500 0.7500 0.5000  4 Si 2.36
Pt: 0.5000 0.5000 0.0000  4 Si 2.36

## Properties
total energy: -6.63 eV per atom
space-group type: I-42d

***

NaSi3Tc: optimized geometry, GGA-PBEsol.

Unit cell a=4.6728 b=4.6728 c=4.6728 alpha=90.00 beta=90.00 gamma=90.00
Last column: nearest neighbours and their distance in Å.
Element x y z (fractional)
Na: 0.0000 0.0000 0.0000  12 Si 3.30
Si: 0.0000 0.5000 0.5000  2 Tc 2.34
Si: 0.5000 0.0000 0.5000  2 Tc 2.34
Si: 0.5000 0.5000 0.0000  2 Tc 2.34
Tc: 0.5000 0.5000 0.5000  6 Si 2.34

## Properties
total energy: -5.69 eV per atom
space-group type: Pm-3m

***

> total energy of number 1 (LaSi2Pt)?

-6.63 eV per atom

***

> What is the formula in the first record?

LaSi2Pt